Computed, not measured: a relaxed KRbTl6 crystal at the PBE level of DFT.

The crystal system is orthorhombic. Its density is 7.6 Mg/m³. Its formation energy is -0.07 eV/atom.

The structure belongs to space group Amm2 (No. 38); the cell edges are 5.323, 8.229 and 13.545 Å and the angles 90.00°, 90.00° and 90.00°. The asymmetric unit holds K at (0.000, 0.000, 0.000), Rb at (0.500, 0.000, 0.676), Tl at (0.000, 0.000, 0.473), Tl at (0.000, 0.211, 0.259), Tl at (0.500, 0.000, 0.200) and Tl at (0.500, 0.214, 0.416).